No. 1
The following is a GGA-PBEsol calculation of crystalline Zr2TcCl2 at its relaxed geometry, from the Alexandria database.

Summary:
Raw formation energy (eV/atom): -0.33
V (Å³ per cell): 93.6

Cell: 7.2443 7.2443 7.2443 Å, 150.22 150.22 42.62°
Last column: nearest neighbours and their distance in Å.
Fractional positions:
Zr 0.1123 0.1123 0.0000  4 Cl 2.63
Zr 0.8877 0.8877 0.0000  4 Cl 2.63
Tc 0.5000 0.5000 0.0000  8 Zr 3.04
Cl 0.2500 0.7500 0.5000  4 Zr 2.63, 4 Cl 2.63
Cl 0.7500 0.2500 0.5000  4 Zr 2.63, 4 Cl 2.63

=====

No. 2
The following is a GGA-PBEsol calculation of crystalline Zr2TcCl at its relaxed geometry, from the Alexandria database.

Summary:
Raw formation energy (eV/atom): -0.37
V (Å³ per cell): 76.8
Polymorph energy (0 for the lowest one) (meV per atom): 251.8

Cell: 7.5886 7.5886 7.5886 Å, 155.45 154.95 35.35°
Last column: nearest neighbours and their distance in Å.
Fractional positions:
Zr 0.0000 0.0000 0.0000  4 Tc 2.68, 2 Cl 2.79
Zr 0.7680 0.2680 0.5000  2 Tc 2.58, 4 Cl 2.81
Tc 0.4050 0.4050 0.0000  6 Zr 2.58-2.68
Cl 0.1571 0.6571 0.5000  6 Zr 2.79-2.81

=====

No. 3
The following is a GGA-PBEsol calculation of crystalline Zr2TcCl at its relaxed geometry, from the Alexandria database.

Summary:
Raw formation energy (eV/atom): -0.11
V (Å³ per cell): 77.0
Polymorph energy (0 for the lowest one) (meV per atom): 515.5

Cell: 3.0552 3.0552 9.1104 Å, 90.00 90.00 115.13°
Last column: nearest neighbours and their distance in Å.
Fractional positions:
Zr 0.0000 0.0000 0.0000  2 Cl 2.58
Zr 0.5000 0.5000 0.2822  2 Tc 2.51
Tc 0.0000 0.0000 0.4911  2 Zr 2.51
Cl 0.5000 0.5000 0.7812  2 Zr 2.58

=====

No. 4
The following is a GGA-PBEsol calculation of crystalline TeCl4 at its relaxed geometry, from the Alexandria database.

Summary:
Raw formation energy (eV/atom): -0.59
V (Å³ per cell): 1284.4
Polymorph energy (0 for the lowest one) (meV per atom): 0.0

Cell: 10.1815 10.1815 15.5500 Å, 112.35 112.35 62.88°
Last column: nearest neighbours and their distance in Å.
Fractional positions:
Te 0.2338 0.7638 0.6123  3 Cl 2.35
Te 0.2362 0.7662 0.8877  3 Cl 2.35
Te 0.3432 0.3830 0.1834  3 Cl 2.35-2.36
Te 0.3830 0.3432 0.6834  3 Cl 2.35-2.36
Te 0.6170 0.6568 0.3166  3 Cl 2.35-2.36
Te 0.6568 0.6170 0.8166  3 Cl 2.35-2.36
Te 0.7638 0.2338 0.1123  3 Cl 2.35
Te 0.7662 0.2362 0.3877  3 Cl 2.35
Cl 0.0127 0.9847 0.6239  1 Te 2.35
Cl 0.0153 0.9873 0.8761  1 Te 2.35
Cl 0.1239 0.6250 0.6882  3 Te 2.88-2.90
Cl 0.1307 0.6422 0.4557  1 Te 2.35
Cl 0.1317 0.6144 0.1907  1 Te 2.36
Cl 0.1345 0.6473 0.9357  1 Te 2.35
Cl 0.2457 0.2749 0.0211  1 Te 2.35
Cl 0.2549 0.2703 0.2460  1 Te 2.35
Cl 0.2703 0.2549 0.7460  1 Te 2.35
Cl 0.2749 0.2457 0.5211  1 Te 2.35
Cl 0.3527 0.8655 0.5643  1 Te 2.35
Cl 0.3578 0.8693 0.0443  1 Te 2.35
Cl 0.3750 0.8761 0.8118  3 Te 2.88-2.90
Cl 0.3856 0.8683 0.3093  1 Te 2.36
Cl 0.4931 0.5053 0.1254  3 Te 2.87-2.89
Cl 0.4947 0.5069 0.3746  3 Te 2.87-2.89
Cl 0.5053 0.4931 0.6254  3 Te 2.87-2.89
Cl 0.5069 0.4947 0.8746  3 Te 2.87-2.89
Cl 0.6144 0.1317 0.6907  1 Te 2.36
Cl 0.6250 0.1239 0.1882  3 Te 2.88-2.90
Cl 0.6422 0.1307 0.9557  1 Te 2.35
Cl 0.6473 0.1345 0.4357  1 Te 2.35
Cl 0.7251 0.7543 0.4789  1 Te 2.35
Cl 0.7297 0.7451 0.2540  1 Te 2.35
Cl 0.7451 0.7297 0.7540  1 Te 2.35
Cl 0.7543 0.7251 0.9789  1 Te 2.35
Cl 0.8655 0.3527 0.0643  1 Te 2.35
Cl 0.8683 0.3856 0.8093  1 Te 2.36
Cl 0.8693 0.3578 0.5443  1 Te 2.35
Cl 0.8761 0.3750 0.3118  3 Te 2.88-2.90
Cl 0.9847 0.0127 0.1239  1 Te 2.35
Cl 0.9873 0.0153 0.3761  1 Te 2.35

=====

No. 5
The following is a GGA-PBEsol calculation of crystalline TeCl2 at its relaxed geometry, from the Alexandria database.

Summary:
Raw formation energy (eV/atom): 0.06
V (Å³ per cell): 67.7

Cell: 6.9109 6.9109 6.9109 Å, 153.05 153.05 38.48°
Last column: nearest neighbours and their distance in Å.
Fractional positions:
Te 0.0000 0.0000 0.0000  8 Cl 2.99, 4 Te 3.22
Cl 0.3513 0.3513 0.0000  4 Te 2.99, 4 Cl 3.22
Cl 0.6487 0.6487 0.0000  4 Te 2.99, 4 Cl 3.22

=====

No. 6
The following is a GGA-PBEsol calculation of crystalline Te5Cl at its relaxed geometry, from the Alexandria database.

Summary:
Raw formation energy (eV/atom): -0.02
V (Å³ per cell): 193.6

Cell: 6.9951 6.9951 7.8871 Å, 113.55 113.55 33.50°
Last column: nearest neighbours and their distance in Å.
Fractional positions:
Te 0.0000 0.0000 0.0000  2 Cl 2.82, 2 Te 2.85
Te 0.0645 0.0645 0.5101  4 Te 2.96-3.02
Te 0.3913 0.3913 0.4491  4 Te 2.96-3.10
Te 0.6657 0.6657 0.1008  3 Te 2.85-2.92
Te 0.7311 0.7311 0.5039  5 Te 2.92-3.10
Cl 0.3388 0.3388 0.9147  2 Te 2.82

=====

No. 7
The following is a GGA-PBEsol calculation of crystalline TeCl at its relaxed geometry, from the Alexandria database.

Summary:
Raw formation energy (eV/atom): 0.28
V (Å³ per cell): 46.0

Cell: 3.5823 3.5823 3.5823 Å, 90.00 90.00 90.00°
Last column: nearest neighbours and their distance in Å.
Fractional positions:
Te 0.0000 0.0000 0.0000  8 Cl 3.10
Cl 0.5000 0.5000 0.5000  8 Te 3.10

=====

No. 8
The following is a GGA-PBEsol calculation of crystalline TeCl2 at its relaxed geometry, from the Alexandria database.

Summary:
Raw formation energy (eV/atom): -0.27
V (Å³ per cell): 192.1

Cell: 8.3469 8.3469 8.3469 Å, 144.81 144.81 50.61°
Last column: nearest neighbours and their distance in Å.
Fractional positions:
Te 0.3750 0.6250 0.7500  4 Cl 2.59
Te 0.6250 0.3750 0.2500  4 Cl 2.59
Cl 0.0859 0.3359 0.7500  2 Te 2.59
Cl 0.3359 0.0859 0.2500  2 Te 2.59
Cl 0.6641 0.9141 0.7500  2 Te 2.59
Cl 0.9141 0.6641 0.2500  2 Te 2.59

=====

Number 1: spin magnetization 0.000 μB/atom. Number 2: spin magnetization 0.000 μB/atom. Number 3: spin magnetization 0.000 μB/atom. Number 4: spin magnetization 0.000 μB/atom. Number 5: spin magnetization 0.000 μB/atom. Number 6: spin magnetization 0.000 μB/atom. Number 7: spin magnetization 0.000 μB/atom. Number 8: spin magnetization 0.000 μB/atom.